The following is a DFT calculation (PBE-GGA) of AlIrW2 after structural relaxation.

Values from the calculation:
Formation enthalpy at 0 K, eV per atom: -0.080
Total energy, eV/f.u.: -38.83
D(E_F), states/eV/cell: 3.9
SG: Cm, No. 8

a b c (Å): 9.099 2.763 4.954
angles (deg): 90.00 97.27 90.00
Atoms (fractional coordinates):
Al  0.000  0.000  0.000
Al  0.500  0.500  0.000
Ir  0.252  0.000  0.784
Ir  0.752  0.500  0.784
W  0.016  0.500  0.505
W  0.258  0.500  0.265
W  0.516  0.000  0.505
W  0.758  0.000  0.265

The following is a DFT calculation (PBE-GGA) of HoTa5Ag2O15 after structural relaxation.

Values from the calculation:
Total energy, eV/f.u.: -202.39
D(E_F), states/eV/cell: 0.0
SG: P4/mbm, No. 127
Formation energy from raw total energies, eV per atom: -2.54

a b c (Å): 12.590 12.590 3.920
angles (deg): 90.00 90.00 90.00
Atoms (fractional coordinates):
Ho  0.000  0.000  0.000
Ho  0.500  0.500  0.000
Ta  0.000  0.500  0.500
Ta  0.080  0.210  0.500
Ta  0.210  0.920  0.500
Ta  0.290  0.420  0.500
Ta  0.420  0.710  0.500
Ta  0.500  0.000  0.500
Ta  0.580  0.290  0.500
Ta  0.710  0.580  0.500
Ta  0.790  0.080  0.500
Ta  0.920  0.790  0.500
Ag  0.163  0.663  0.000
Ag  0.337  0.163  0.000
Ag  0.663  0.837  0.000
Ag  0.837  0.337  0.000
O  0.000  0.500  0.000
O  0.001  0.659  0.500
O  0.057  0.870  0.500
O  0.078  0.187  0.000
O  0.130  0.057  0.500
O  0.159  0.501  0.500
O  0.187  0.922  0.000
O  0.224  0.276  0.500
O  0.276  0.776  0.500
O  0.313  0.422  0.000
O  0.341  0.001  0.500
O  0.370  0.557  0.500
O  0.422  0.687  0.000
O  0.443  0.370  0.500
O  0.499  0.159  0.500
O  0.500  0.000  0.000
O  0.501  0.841  0.500
O  0.557  0.630  0.500
O  0.578  0.313  0.000
O  0.630  0.443  0.500
O  0.659  0.999  0.500
O  0.687  0.578  0.000
O  0.724  0.224  0.500
O  0.776  0.724  0.500
O  0.813  0.078  0.000
O  0.841  0.499  0.500
O  0.870  0.943  0.500
O  0.922  0.813  0.000
O  0.943  0.130  0.500
O  0.999  0.341  0.500

The following is a DFT calculation (PBE-GGA) of K2BaHRu after structural relaxation.

Values from the calculation:
Total energy, eV/f.u.: -10.95
D(E_F), states/eV/cell: 2.1
SG: P4/mmm, No. 123

a b c (Å): 7.264 7.264 4.975
angles (deg): 90.00 90.00 90.00
Atoms (fractional coordinates):
K  0.000  0.500  0.000
K  0.500  0.000  0.000
Ba  0.000  0.000  0.000
H  0.500  0.500  0.500
Ru  0.000  0.000  0.500

The following is a DFT calculation (PBE-GGA) of CuRu3C after structural relaxation.

Values from the calculation:
Formation enthalpy at 0 K, eV per atom: 0.383
Total energy, eV/f.u.: -39.23
D(E_F), states/eV/cell: 4.4
Energy above the most stable polymorph in this dataset, meV/atom: 0
SG: Pm-3m, No. 221

a b c (Å): 4.008 4.008 4.008
angles (deg): 90.00 90.00 90.00
Atoms (fractional coordinates):
Cu  0.000  0.000  0.000
Ru  0.000  0.500  0.500
Ru  0.500  0.000  0.500
Ru  0.500  0.500  0.000
C  0.500  0.500  0.500

The following is a DFT calculation (PBE-GGA) of ErHfZr after structural relaxation.

Values from the calculation:
Formation enthalpy at 0 K, eV per atom: 0.106
Total energy, eV/f.u.: -22.75
D(E_F), states/eV/cell: 8.0
Energy above the most stable polymorph in this dataset, meV/atom: 15
SG: I4mm, No. 107

a b c (Å): 3.186 3.186 14.856
angles (deg): 90.00 90.00 90.00
Atoms (fractional coordinates):
Er  0.000  0.000  0.000
Er  0.500  0.500  0.500
Hf  0.000  0.000  0.328
Hf  0.500  0.500  0.828
Zr  0.000  0.000  0.683
Zr  0.500  0.500  0.183

The following is a DFT calculation (PBE-GGA) of Nd5DyIn4 after structural relaxation.

Values from the calculation:
Formation enthalpy at 0 K, eV per atom: -0.374
Total energy, eV/f.u.: -43.13
D(E_F), states/eV/cell: 10.9
Energy above the most stable polymorph in this dataset, meV/atom: 0
SG: P4/mmm, No. 123

a b c (Å): 3.648 3.648 22.575
angles (deg): 90.00 90.00 90.00
Atoms (fractional coordinates):
Nd  0.000  0.000  0.000
Nd  0.000  0.000  0.193
Nd  0.000  0.000  0.385
Nd  0.000  0.000  0.615
Nd  0.000  0.000  0.807
Dy  0.500  0.500  0.500
In  0.500  0.500  0.096
In  0.500  0.500  0.290
In  0.500  0.500  0.710
In  0.500  0.500  0.904

The following is a DFT calculation (PBE-GGA) of NdSmErIn after structural relaxation.

Values from the calculation:
Formation enthalpy at 0 K, eV per atom: -0.099
Total energy, eV/f.u.: -17.19
D(E_F), states/eV/cell: 23.2
Energy above the most stable polymorph in this dataset, meV/atom: 53
SG: F-43m, No. 216

a b c (Å): 7.803 7.803 7.803
angles (deg): 90.00 90.00 90.00
Atoms (fractional coordinates):
Nd  0.000  0.000  0.000
Nd  0.000  0.500  0.500
Nd  0.500  0.000  0.500
Nd  0.500  0.500  0.000
Sm  0.250  0.250  0.250
Sm  0.250  0.750  0.750
Sm  0.750  0.250  0.750
Sm  0.750  0.750  0.250
Er  0.250  0.250  0.750
Er  0.250  0.750  0.250
Er  0.750  0.250  0.250
Er  0.750  0.750  0.750
In  0.000  0.000  0.500
In  0.000  0.500  0.000
In  0.500  0.000  0.000
In  0.500  0.500  0.500

The following is a DFT calculation (PBE-GGA) of Pr2Al4TlAu3 after structural relaxation.

Values from the calculation:
Formation enthalpy at 0 K, eV per atom: -0.614
Total energy, eV/f.u.: -42.86
D(E_F), states/eV/cell: 4.4
SG: P-4m2, No. 115

a b c (Å): 4.479 4.479 10.698
angles (deg): 90.00 90.00 90.00
Atoms (fractional coordinates):
Pr  0.000  0.500  0.243
Pr  0.500  0.000  0.757
Al  0.000  0.000  0.000
Al  0.000  0.500  0.646
Al  0.500  0.000  0.354
Al  0.500  0.500  0.000
Tl  0.000  0.000  0.500
Au  0.000  0.500  0.878
Au  0.500  0.000  0.122
Au  0.500  0.500  0.500

The following is a DFT calculation (PBE-GGA) of CsSr2PbF after structural relaxation.

Values from the calculation:
Total energy, eV/f.u.: -12.12
D(E_F), states/eV/cell: 3.1
SG: P4/mmm, No. 123
Formation energy from raw total energies, eV per atom: -0.46

a b c (Å): 6.876 6.876 5.227
angles (deg): 90.00 90.00 90.00
Atoms (fractional coordinates):
Cs  0.000  0.000  0.000
Sr  0.000  0.500  0.500
Sr  0.500  0.000  0.500
Pb  0.500  0.500  0.500
F  0.500  0.500  0.000

The following is a DFT calculation (PBE-GGA) of BeTe2 after structural relaxation.

Values from the calculation:
Total energy, eV/f.u.: -8.84
D(E_F), states/eV/cell: 6.6
Energy above the most stable polymorph in this dataset, meV/atom: 535
SG: P6_3/mmc, No. 194
Formation energy from raw total energies, eV per atom: 0.39

a b c (Å): 3.925 3.925 13.148
angles (deg): 90.00 90.00 120.00
Atoms (fractional coordinates):
Be  0.333  0.667  0.250
Be  0.667  0.333  0.750
Te  0.000  0.000  0.000
Te  0.000  0.000  0.500
Te  0.333  0.667  0.750
Te  0.667  0.333  0.250

The following is a DFT calculation (PBE-GGA) of Nd6Ho8Tm after structural relaxation.

Values from the calculation:
Formation enthalpy at 0 K, eV per atom: 0.119
Total energy, eV/f.u.: -67.92
D(E_F), states/eV/cell: 21.8
Energy above the most stable polymorph in this dataset, meV/atom: 0
SG: R-3, No. 148

a b c (Å): 8.708 8.708 8.708
angles (deg): 62.96 62.96 62.96
Atoms (fractional coordinates):
Nd  0.039  0.728  0.603
Nd  0.272  0.397  0.961
Nd  0.397  0.961  0.272
Nd  0.603  0.039  0.728
Nd  0.728  0.603  0.039
Nd  0.961  0.272  0.397
Ho  0.077  0.077  0.077
Ho  0.218  0.249  0.612
Ho  0.249  0.612  0.218
Ho  0.388  0.782  0.751
Ho  0.612  0.218  0.249
Ho  0.751  0.388  0.782
Ho  0.782  0.751  0.388
Ho  0.923  0.923  0.923
Tm  0.500  0.500  0.500

The following is a DFT calculation (PBE-GGA) of CeTl2AuS4 after structural relaxation.

Values from the calculation:
Total energy, eV/f.u.: -35.52
D(E_F), states/eV/cell: 9.6
SG: I-4, No. 82
Formation energy from raw total energies, eV per atom: -0.63

a b c (Å): 7.422 7.422 7.728
angles (deg): 90.00 90.00 90.00
Atoms (fractional coordinates):
Ce  0.000  0.000  0.000
Ce  0.500  0.500  0.500
Tl  0.000  0.000  0.500
Tl  0.000  0.500  0.750
Tl  0.500  0.000  0.250
Tl  0.500  0.500  0.000
Au  0.000  0.500  0.250
Au  0.500  0.000  0.750
S  0.192  0.240  0.189
S  0.240  0.808  0.811
S  0.260  0.692  0.311
S  0.308  0.260  0.689
S  0.692  0.740  0.689
S  0.740  0.308  0.311
S  0.760  0.192  0.811
S  0.808  0.760  0.189

The following is a DFT calculation (PBE-GGA) of PrEr2Th3 after structural relaxation.

Values from the calculation:
Formation enthalpy at 0 K, eV per atom: 0.033
Total energy, eV/f.u.: -35.97
D(E_F), states/eV/cell: 19.3
SG: C2/m, No. 12

a b c (Å): 8.009 8.009 11.330
angles (deg): 115.10 115.10 36.72
Atoms (fractional coordinates):
Pr  0.127  0.127  0.130
Pr  0.873  0.873  0.870
Er  0.205  0.205  0.869
Er  0.459  0.459  0.131
Er  0.541  0.541  0.869
Er  0.795  0.795  0.131
Th  0.042  0.042  0.377
Th  0.290  0.290  0.621
Th  0.377  0.377  0.378
Th  0.623  0.623  0.622
Th  0.710  0.710  0.379
Th  0.958  0.958  0.623

The following is a DFT calculation (PBE-GGA) of Sr2LiBiB after structural relaxation.

Values from the calculation:
Formation enthalpy at 0 K, eV per atom: 0.183
Total energy, eV/f.u.: -14.92
D(E_F), states/eV/cell: 4.9
SG: P4/mmm, No. 123

a b c (Å): 5.665 5.665 4.964
angles (deg): 90.00 90.00 90.00
Atoms (fractional coordinates):
Sr  0.000  0.500  0.000
Sr  0.500  0.000  0.000
Li  0.000  0.000  0.500
Bi  0.500  0.500  0.500
B  0.500  0.500  0.000

The following is a DFT calculation (PBE-GGA) of PuUH2 after structural relaxation.

Values from the calculation:
Total energy, eV/f.u.: -32.44
D(E_F), states/eV/cell: 26.2
Energy above the most stable polymorph in this dataset, meV/atom: 94
SG: R-3m, No. 166

a b c (Å): 3.006 3.006 19.785
angles (deg): 90.00 90.00 120.00
Atoms (fractional coordinates):
Pu  0.000  0.000  0.000
Pu  0.333  0.667  0.667
Pu  0.667  0.333  0.333
U  0.000  0.000  0.500
U  0.333  0.667  0.167
U  0.667  0.333  0.833
H  0.000  0.000  0.248
H  0.000  0.000  0.752
H  0.333  0.667  0.419
H  0.333  0.667  0.915
H  0.667  0.333  0.085
H  0.667  0.333  0.581

The following is a DFT calculation (PBE-GGA) of NaLiV2Au after structural relaxation.

Values from the calculation:
Formation enthalpy at 0 K, eV per atom: 0.818
Total energy, eV/f.u.: -20.66
D(E_F), states/eV/cell: 5.3
SG: P4/mmm, No. 123

a b c (Å): 5.029 5.029 5.013
angles (deg): 90.00 90.00 90.00
Atoms (fractional coordinates):
Na  0.000  0.000  0.000
Li  0.500  0.500  0.000
V  0.000  0.500  0.500
V  0.500  0.000  0.500
Au  0.500  0.500  0.500

The following is a DFT calculation (PBE-GGA) of LiY2CdMo after structural relaxation.

Values from the calculation:
Formation enthalpy at 0 K, eV per atom: 0.822
Total energy, eV/f.u.: -22.48
D(E_F), states/eV/cell: 5.9
SG: P4/mmm, No. 123

a b c (Å): 5.158 5.158 4.522
angles (deg): 90.00 90.00 90.00
Atoms (fractional coordinates):
Li  0.000  0.000  0.000
Y  0.000  0.500  0.000
Y  0.500  0.000  0.000
Cd  0.000  0.000  0.500
Mo  0.500  0.500  0.500

The following is a DFT calculation (PBE-GGA) of KAlPt after structural relaxation.

Values from the calculation:
Formation enthalpy at 0 K, eV per atom: 0.898
Total energy, eV/f.u.: -8.19
D(E_F), states/eV/cell: 1.1
Energy above the most stable polymorph in this dataset, meV/atom: 1452
SG: F-43m, No. 216

a b c (Å): 6.962 6.962 6.962
angles (deg): 90.00 90.00 90.00
Atoms (fractional coordinates):
K  0.000  0.000  0.000
K  0.000  0.500  0.500
K  0.500  0.000  0.500
K  0.500  0.500  0.000
Al  0.250  0.250  0.250
Al  0.250  0.750  0.750
Al  0.750  0.250  0.750
Al  0.750  0.750  0.250
Pt  0.250  0.250  0.750
Pt  0.250  0.750  0.250
Pt  0.750  0.250  0.250
Pt  0.750  0.750  0.750